1.
# RuPtCl2

RuPtCl2 after structural relaxation (PBE-GGA, Alexandria).

a b c (Å): 4.5379 4.5379 4.5379
angles (deg): 119.98 119.98 90.04
Last column: nearest neighbours and their distance in Å.
Element x y z (fractional)
Ru: 0.7500 0.2500 0.5000  4 Pt 2.78, 4 Cl 2.78
Pt: 0.5000 0.5000 0.0000  4 Cl 2.78, 4 Ru 2.78
Cl: 0.0000 0.0000 0.0000  4 Cl 2.78, 4 Ru 2.78
Cl: 0.2500 0.7500 0.5000  4 Cl 2.78, 4 Pt 2.78

Computed properties:
- energy above the most stable polymorph in this dataset (meV per atom) = 838.9
- density of states at the Fermi level (states/eV/cell) = 2.6
- E_form (uncorrected) (eV per atom) = 0.863

=====

2.
# RuPtSCl2

RuPtSCl2 after structural relaxation (PBE-GGA, Alexandria).

a b c (Å): 4.8804 4.8804 4.7033
angles (deg): 90.00 90.00 90.00
Last column: nearest neighbours and their distance in Å.
Element x y z (fractional)
Ru: 0.5000 0.5000 0.5000  8 Cl 3.39, 4 S 3.45
S: 0.0000 0.0000 0.5000  2 Pt 2.35
Pt: 0.0000 0.0000 0.0000  2 S 2.35, 4 Cl 2.44
Cl: 0.0000 0.5000 0.0000  2 Pt 2.44
Cl: 0.5000 0.0000 0.0000  2 Pt 2.44

Computed properties:
- energy above the most stable polymorph in this dataset (meV per atom) = 135.2
- density of states at the Fermi level (states/eV/cell) = 4.4
- E_form (uncorrected) (eV per atom) = 0.824

=====

3.
# RuPtSCl2

RuPtSCl2 after structural relaxation (PBE-GGA, Alexandria).

a b c (Å): 4.8709 4.8709 4.3798
angles (deg): 90.00 90.00 90.00
Last column: nearest neighbours and their distance in Å.
Element x y z (fractional)
Ru: 0.0000 0.0000 0.0000  2 S 2.19, 4 Cl 2.44
S: 0.0000 0.0000 0.5000  2 Ru 2.19
Pt: 0.5000 0.5000 0.5000  8 Cl 3.28, 4 S 3.44
Cl: 0.0000 0.5000 0.0000  2 Ru 2.44
Cl: 0.5000 0.0000 0.0000  2 Ru 2.44

Computed properties:
- energy above the most stable polymorph in this dataset (meV per atom) = 0.0
- density of states at the Fermi level (states/eV/cell) = 8.0
- E_form (uncorrected) (eV per atom) = 0.689

=====

4.
# Sm6Ru2PtCl3

Sm6Ru2PtCl3 after structural relaxation (PBE-GGA, Alexandria).

a b c (Å): 6.9988 6.9988 7.8881
angles (deg): 98.45 98.45 120.05
Last column: nearest neighbours and their distance in Å.
Element x y z (fractional)
Sm: 0.9316 0.5861 0.7942  2 Ru 2.77, 1 Pt 2.87
Sm: 0.7217 0.7217 0.2048  2 Ru 2.76, 1 Pt 2.87
Sm: 0.0684 0.4139 0.2058  2 Ru 2.77, 1 Pt 2.87
Sm: 0.5861 0.9316 0.7942  2 Ru 2.77, 1 Pt 2.87
Sm: 0.2783 0.2783 0.7952  2 Ru 2.76, 1 Pt 2.87
Sm: 0.4139 0.0684 0.2058  2 Ru 2.77, 1 Pt 2.87
Ru: 0.3334 0.6666 0.0000  6 Sm 2.76-2.77
Ru: 0.6666 0.3334 0.0000  6 Sm 2.76-2.77
Pt: 0.0000 0.0000 0.0000  6 Sm 2.87
Cl: 0.1724 0.8276 0.5000  6 Sm 3.12-3.30
Cl: 0.8276 0.1724 0.5000  6 Sm 3.12-3.30
Cl: 0.5000 0.5000 0.5000  6 Sm 3.15-3.25

Computed properties:
- density of states at the Fermi level (states/eV/cell) = 4.1
- E_form (uncorrected) (eV per atom) = -1.066